DFT (meta-GGA SCAN) results for MnNb4Se8 at its PBEsol-relaxed geometry.

Geometry as POSCAR:
```
MnNb4Se8
1.0
-3.590 -1.710 5.642
6.885 0.409 0.282
-0.842 12.019 3.107
Nb Se Mn
8 16 2
Cartesian
2.808 9.194 2.569
-0.355 1.525 6.462
-0.632 9.014 2.330
-1.919 2.142 3.651
1.105 8.382 5.247
-0.211 3.005 0.777
1.348 2.337 3.784
4.372 8.577 5.380
-2.557 9.251 7.474
-2.334 6.076 6.654
2.880 7.035 3.964
1.049 6.278 6.792
0.827 9.452 7.613
-0.191 0.319 4.197
-0.570 6.917 3.880
3.246 0.627 4.330
1.404 4.441 2.239
-0.793 10.092 4.701
2.644 10.400 4.834
3.023 3.802 5.151
1.626 1.266 1.418
4.787 4.642 2.378
-0.427 3.684 5.067
5.010 1.468 1.557
0.000 0.000 0.000
-0.421 6.010 1.553
```

Computed properties:
- total DFT energy (no corrections) (eV/cell) = -648.28
- symmetry = P6_3/mmc, No. 194